Crystalline TlPt2Cl at its relaxed geometry. Source: Alexandria via LeMat-Bulk, functional GGA-PBE.

Summary:
Total moment (μB/atom): 0.000
VASP energy (eV/atom): -3.721
Energy above the most stable polymorph in this dataset (meV/atom): 298
Formation energy from raw total energies (kJ/mol of formula units): 136
D(E_F) (states/eV/cell): 0.794

Lattice parameters (Å, degrees): 4.7525 4.7525 4.7525 60.00 60.00 60.00
Fractional coordinates of all 4 atoms:
Tl: 0.0000 0.0000 0.0000
Pt: 0.2500 0.2500 0.2500
Pt: 0.5000 0.5000 0.5000
Cl: 0.7500 0.7500 0.7500


Crystalline TlPtCl4 at its relaxed geometry. Source: Alexandria via LeMat-Bulk, functional GGA-PBE.

Summary:
Total moment (μB/atom): 0.413
VASP energy (eV/atom): -1.929
Formation energy from raw total energies (kJ/mol of formula units): 407
D(E_F) (states/eV/cell): 12.601

Lattice parameters (Å, degrees): 5.9419 5.9419 5.9419 60.00 60.00 60.00
Fractional coordinates of all 6 atoms:
Tl: 0.0000 0.0000 0.0000
Pt: 0.2500 0.2500 0.2500
Cl: 0.1272 0.6243 0.6243
Cl: 0.6243 0.1272 0.6243
Cl: 0.6243 0.6243 0.1272
Cl: 0.6243 0.6243 0.6243